# KCoOs | Alexandria | PBE-GGA | optimized geometry
data_KCoOs
_chemical_formula_sum 'K1 Co1 Os1'
_space_group_name_H-M_alt 'P 1'
_space_group_IT_number 1
_cell_length_a 2.771
_cell_length_b 2.771
_cell_length_c 7.809
_cell_angle_alpha 90.00
_cell_angle_beta 90.00
_cell_angle_gamma 120.00
loop_
_space_group_symop_operation_xyz
'x,y,z'
loop_
_atom_site_label
_atom_site_type_symbol
_atom_site_fract_x
_atom_site_fract_y
_atom_site_fract_z
Co1 Co 0.000 0.000 0.958
K1 K 0.667 0.333 0.332
Os1 Os 0.333 0.667 0.709
# Space-group type: No. 156
# E above lowest polymorph (meV per atom): 425.2
# ΔE_f (eV per atom): 1.0226